Compound: Ho2MnBe3Pt4
Source: Alexandria
Functional: GGA-PBE
Structure: optimized geometry

Cell and atoms, written as extended XYZ:
```
10
Lattice="3.971 0.000 0.000 0.000 3.971 0.000 0.000 0.000 10.166" Properties=species:S:1:pos:R:3 pbc="T T T"
Ho 0.000 1.985 2.446
Ho 1.985 0.000 7.720
Mn 0.000 0.000 5.083
Be 0.000 1.985 8.958
Be 1.985 0.000 1.208
Be 1.985 1.985 5.083
Pt 0.000 0.000 0.000
Pt 0.000 1.985 6.642
Pt 1.985 0.000 3.524
Pt 1.985 1.985 0.000
```

Summary:
formation energy from the elements	-0.84	eV per atom
total moment	3.8	μB per cell
space-group type	P-4m2 (115)
energy	-6.203	eV per atom


Compound: Th3Ru2Pt
Source: Alexandria
Functional: GGA-PBE
Structure: optimized geometry

Cell and atoms, written as extended XYZ:
```
12
Lattice="5.708 0.000 0.000 1.400 5.955 0.000 2.422 2.108 8.248" Properties=species:S:1:pos:R:3 pbc="T T T"
Th 1.342 1.926 2.444
Th 2.810 4.718 0.395
Th 3.922 2.730 5.261
Th 5.608 5.332 2.987
Th 6.719 3.345 7.853
Th 8.187 6.137 5.804
Ru 2.722 4.989 3.259
Ru 3.844 3.813 7.890
Ru 5.685 4.250 0.358
Ru 6.807 3.074 4.989
Pt 5.336 5.589 5.927
Pt 4.194 2.474 2.321
```

Summary:
formation energy from the elements	-0.79	eV per atom
total moment	0.0	μB per cell
space-group type	P-1 (2)
energy	-8.600	eV per atom


Compound: Ce2HoI6
Source: Alexandria
Functional: GGA-PBE
Structure: optimized geometry

Cell and atoms, written as extended XYZ:
```
9
Lattice="8.770 -2.097 0.000 8.770 2.097 0.000 -5.042 0.000 10.415" Properties=species:S:1:pos:R:3 pbc="T T T"
Ce 1.366 0.000 3.662
Ce 11.132 0.000 6.753
Ho 8.770 0.000 0.000
I 2.189 0.000 0.488
I -0.059 0.000 6.531
I 4.722 0.000 7.524
I 7.776 0.000 2.891
I 12.557 0.000 3.884
I 10.309 0.000 9.927
```

Summary:
formation energy (no corrections)	-1221	meV/atom
total moment	4.0	μB per cell
space-group type	C2/m (12)
energy	-4.082	eV per atom


Compound: TeRu
Source: Alexandria
Functional: GGA-PBE
Structure: optimized geometry

Cell and atoms, written as extended XYZ:
```
4
Lattice="-1.586 2.255 6.387 1.586 -2.255 6.387 1.586 2.255 -6.387" Properties=species:S:1:pos:R:3 pbc="T T T"
Te 0.000 1.127 1.372
Te 1.586 1.127 5.015
Ru 1.586 1.127 -0.812
Ru 0.000 1.127 7.199
```

Summary:
formation energy (no corrections)	333	meV/atom
total moment	0.0	μB per cell
space-group type	Imma (74)
energy	-5.875	eV per atom